Density functional theory data (PBE) for a geometry-optimized SrZrBe2 structure.

Its density of states at the Fermi level is 4.59 states/eV/cell. As for the symmetry: F-43m, No. 216. The calculation puts the formation energy from the elements at 96 kJ per mole of atoms. For the density, the calculation gives 4.18 g/cm³. As for the distance to the lowest polymorph of the same formula: 756 meV/atom.

extended XYZ file:
```
4
Lattice="4.798 0.000 0.000 2.399 4.155 0.000 2.399 1.385 3.918" Properties=species:S:1:pos:R:3 pbc="T T T"
Be 7.197 4.155 2.938
Be 0.000 0.000 0.000
Zr 2.399 1.385 0.979
Sr 4.798 2.770 1.959
```

Density functional theory data (PBE) for a geometry-optimized AcNd2Cu structure.

Its density of states at the Fermi level is 9.26 states/eV/cell. As for the symmetry: Cmcm, No. 63. The calculation puts the formation energy from the elements at -4 kJ per mole of atoms. For the density, the calculation gives 7.68 g/cm³. As for the distance to the lowest polymorph of the same formula: 4 meV/atom.

extended XYZ file:
```
8
Lattice="-3.920 2.905 1.728 1.065 -5.395 3.734 5.025 4.105 4.499" Properties=species:S:1:pos:R:3 pbc="T T T"
Nd 2.035 -0.588 5.604
Nd 0.134 2.203 4.357
Nd 4.249 1.220 7.587
Nd -2.080 0.394 2.374
Cu 1.276 2.196 6.964
Cu 0.893 -0.582 2.998
Ac -1.516 -1.091 6.152
Ac 3.685 2.706 3.809
```

Density functional theory data (PBE) for a geometry-optimized PrCd2OsO6 structure.

Its density of states at the Fermi level is 0.51 states/eV/cell. As for the symmetry: R3, No. 146. As for the uncorrected formation energy: -1.5412 eV per atom. For the density, the calculation gives 7.62 g/cm³.

extended XYZ file:
```
10
Lattice="5.730 0.000 -0.002 -2.865 4.962 0.000 -2.864 -1.653 5.001" Properties=species:S:1:pos:R:3 pbc="T T T"
O -1.517 3.257 3.599
O 0.888 2.014 3.598
O 1.717 0.205 0.898
O -2.103 -0.243 3.599
O 2.231 3.442 0.898
O -0.952 1.380 0.899
Cd 0.044 3.330 1.544
Cd 0.044 0.022 4.156
Pr -2.821 1.676 2.475
Os 0.045 3.330 4.845
```

Density functional theory data (PBE) for a geometry-optimized MnCr2AuN structure.

Its density of states at the Fermi level is 4.12 states/eV/cell. As for the symmetry: P4/mmm, No. 123. As for the uncorrected formation energy: -0.2019 eV per atom. For the density, the calculation gives 9.85 g/cm³.

extended XYZ file:
```
5
Lattice="3.961 0.000 0.000 0.000 3.961 0.000 0.000 0.000 3.975" Properties=species:S:1:pos:R:3 pbc="T T T"
Au 1.980 1.980 1.987
Mn 0.000 0.000 1.987
Cr 1.980 0.000 0.000
Cr 0.000 1.980 0.000
N 0.000 0.000 0.000
```